# 1
A plane-wave DFT calculation with PBE was carried out for a relaxed MgAl2InPb crystal.

Properties
Calculated density ... 4.5 g cm⁻³
ΔE_f ... 2.98 eV per formula unit
Density of states at the Fermi level ... 3.92 states/eV per cell
Energy ... -2.509 eV/atom
Space-group type ... P4/mmm

Cell: 5.253 5.295 5.253 Å, 90.00 90.00 90.00°
Positions (direct):
Pb: 0.500 0.500 0.500
Mg: 0.000 0.500 0.000
Al: 0.000 0.000 0.500
Al: 0.500 0.000 0.000
In: 0.000 0.000 0.000

# 2
A plane-wave DFT calculation with PBE was carried out for a relaxed KZrCuF7 crystal.

Properties
Calculated density ... 3.8 g cm⁻³
Density of states at the Fermi level ... 2.85 states/eV per cell
Energy ... -5.587 eV/atom
Raw formation energy ... -280.1 kJ/mol of atoms
Space-group type ... Cmcm

Cell: 7.764 7.764 10.201 Å, 90.00 90.00 112.99°
Each line ends with the local moment (μB).
Positions (direct):
K: 0.637 0.842 0.250  0.00
K: 0.158 0.363 0.250  0.00
K: 0.842 0.637 0.750  0.00
K: 0.363 0.158 0.750  0.00
Zr: 0.134 0.866 0.431  0.00
Zr: 0.134 0.866 0.069  0.00
Zr: 0.866 0.134 0.931  0.00
Zr: 0.866 0.134 0.569  0.00
Cu: 0.635 0.365 0.072  0.73
Cu: 0.365 0.635 0.572  0.73
Cu: 0.365 0.635 0.928  0.73
Cu: 0.635 0.365 0.428  0.73
F: 0.646 0.900 0.512  0.00
F: 0.354 0.100 0.488  0.00
F: 0.777 0.223 0.384  0.07
F: 0.223 0.777 0.616  0.07
F: 0.025 0.975 0.614  0.00
F: 0.354 0.100 0.012  0.00
F: 0.900 0.646 0.012  0.00
F: 0.001 0.724 0.250  0.00
F: 0.100 0.354 0.512  0.00
F: 0.297 0.703 0.392  0.06
F: 0.579 0.421 0.250  0.13
F: 0.703 0.297 0.608  0.06
F: 0.703 0.297 0.892  0.06
F: 0.975 0.025 0.386  0.00
F: 0.100 0.354 0.988  0.00
F: 0.223 0.777 0.884  0.07
F: 0.421 0.579 0.750  0.13
F: 0.900 0.646 0.488  0.00
F: 0.724 0.001 0.750  0.00
F: 0.025 0.975 0.886  0.00
F: 0.975 0.025 0.114  0.00
F: 0.297 0.703 0.108  0.06
F: 0.646 0.900 0.988  0.00
F: 0.777 0.223 0.116  0.07
F: 0.500 0.500 0.500  0.09
F: 0.999 0.276 0.750  0.00
F: 0.276 0.999 0.250  0.00
F: 0.500 0.500 0.000  0.09

# 3
A plane-wave DFT calculation with PBE was carried out for a relaxed CaZnInBr2 crystal.

Properties
Calculated density ... 3.8 g cm⁻³
Density of states at the Fermi level ... 2.79 states/eV per cell
Energy ... -2.077 eV/atom
Raw formation energy ... -19.8 kJ/mol of atoms
Space-group type ... P4/mmm

Cell: 5.283 5.283 6.012 Å, 90.00 90.00 90.00°
Positions (direct):
Zn: 0.000 0.000 0.000
Ca: 0.000 0.000 0.500
Br: 0.000 0.500 0.000
Br: 0.500 0.000 0.000
In: 0.500 0.500 0.500

# 4
A plane-wave DFT calculation with PBE was carried out for a relaxed PmBi2SO4 crystal.

Properties
Calculated density ... 7.9 g cm⁻³
Density of states at the Fermi level ... 4.03 states/eV per cell
Energy ... -6.234 eV/atom
Raw formation energy ... -161.6 kJ/mol of atoms
Space-group type ... P4/mmm

Cell: 3.902 3.902 9.131 Å, 90.00 90.00 90.00°
Each line ends with the local moment (μB).
Positions (direct):
Pm: 0.000 0.000 0.000  0.00
Bi: 0.500 0.500 0.285  0.01
Bi: 0.500 0.500 0.715  0.01
S: 0.000 0.000 0.500  0.36
O: 0.000 0.500 0.160  0.03
O: 0.500 0.000 0.840  0.03
O: 0.500 0.000 0.160  0.03
O: 0.000 0.500 0.840  0.03

What did we get for size of the total moment? Answer: 0.00, 3.94, 0.00, 0.76 μB per cell, in the order shown.